Crystalline Ac2HoPt9 at its relaxed geometry, computed with PBE-GGA.

Values from the calculation:
D(E_F) = 10.73 states/eV/f.u.
E = -6.460 eV/atom
Formation energy = -0.863 eV per atom

abc: 5.5018 5.5018 27.3647
angles: 90.00 90.00 120.00
Space group R-3m (No. 166, hexagonal axes)
Asymmetric unit:
Ac1 0.0000 0.0000 0.1380
Ho1 0.0000 0.0000 0.0000
Pt1 0.0000 0.0000 0.3328
Pt2 0.0000 0.0000 0.5000
Pt3 0.0025 0.5012 0.9181

Crystalline SnPdPt3 at its relaxed geometry, computed with PBE-GGA.

Values from the calculation:
D(E_F) = 10.66 states/eV/f.u.
E = -4.448 eV/atom
ΔE to the lowest computed polymorph = 1296 meV per atom
Formation energy = 1.016 eV per atom

abc: 4.8657 4.8657 4.8657
angles: 90.00 90.00 90.00
Space group Pm-3m (No. 221)
Asymmetric unit:
Sn1 0.0000 0.0000 0.0000
Pd1 0.5000 0.5000 0.5000
Pt1 0.0000 0.5000 0.5000

Crystalline Fe3OsSe at its relaxed geometry, computed with PBE-GGA.

Values from the calculation:
Raw formation energy = 1.3995 eV/atom
D(E_F) = 7.63 states/eV/f.u.
E = -6.621 eV/atom

abc: 4.6233 4.6233 4.6233
angles: 90.00 90.00 90.00
Space group Pm-3m (No. 221)
Asymmetric unit:
Fe1 0.0000 0.0000 0.5000
Os1 0.0000 0.0000 0.0000
Se1 0.5000 0.5000 0.5000

Crystalline Mg3AgB at its relaxed geometry, computed with PBE-GGA.

Values from the calculation:
D(E_F) = 2.36 states/eV/f.u.
E = -1.845 eV/atom
ΔE to the lowest computed polymorph = 863 meV per atom
Formation energy = 1.017 eV per atom

abc: 5.0241 5.0241 5.0241
angles: 90.00 90.00 90.00
Space group Pm-3m (No. 221)
Asymmetric unit:
Mg1 0.0000 0.0000 0.5000
Ag1 0.0000 0.0000 0.0000
B1 0.5000 0.5000 0.5000

Crystalline PbN3F12 at its relaxed geometry, computed with PBE-GGA.

Values from the calculation:
Raw formation energy = -0.7085 eV/atom
D(E_F) = 3.70 states/eV/f.u.
E = -3.905 eV/atom

abc: 7.7530 7.7530 38.8154
angles: 90.00 90.00 120.00
Space group R3c (No. 161, hexagonal axes)
Asymmetric unit:
Pb1 0.0000 0.0000 0.0000
N1 0.0532 0.3344 0.0832
F1 0.0348 0.4920 0.0738
F2 0.0574 0.2464 0.0315
F3 0.1396 0.3392 0.7583
F4 0.1443 0.4195 0.1354

Crystalline YHf2I at its relaxed geometry, computed with PBE-GGA.

Values from the calculation:
Raw formation energy = 0.6050 eV/atom
D(E_F) = 7.99 states/eV/f.u.
E = -6.375 eV/atom
ΔE to the lowest computed polymorph = 163 meV per atom

abc: 7.3659 7.3659 7.3659
angles: 90.00 90.00 90.00
Space group Fm-3m (No. 225)
Asymmetric unit:
Y1 0.0000 0.0000 0.0000
Hf1 0.2500 0.2500 0.2500
I1 0.0000 0.0000 0.5000